CoSe2F: optimized geometry, PBE with a Hubbard U.

```
CoSe2F
1.0
-2.8145 2.8145 5.0108
2.8145 -2.8145 5.0108
2.8145 2.8145 -5.0108
Co Se F
2 4 2
Direct
0.0000 0.0000 0.0000
0.7500 0.2500 0.5000
0.0707 0.6250 0.9457
0.3750 0.3207 0.4457
0.6793 0.1250 0.0543
0.8750 0.9293 0.5543
0.2500 0.7500 0.5000
0.5000 0.5000 0.0000
```

Results
* offset from the most stable computed form: 315 meV per atom
* space-group type: No. 122
* raw total energy: -3.551 eV per atom
* N(E_F): 4.312 states/eV per cell